Arrangement one

A relaxed CsTiTl2Sb crystal. Source: the Alexandria database, functional PBE.

```
CsTiTl2Sb
1.0
6.179 0.000 0.000
0.000 6.179 0.000
0.000 0.000 6.381
Cs Ti Tl Sb
1 1 2 1
Direct
0.000 0.000 0.000
0.500 0.500 0.500
0.000 0.500 0.000
0.500 0.000 0.000
0.000 0.000 0.500
```

***

Arrangement two

A relaxed CsTiTl2Sb crystal. Source: the Alexandria database, functional PBE.

```
CsTiTl2Sb
1.0
5.639 0.000 0.000
0.000 5.639 0.000
0.000 0.000 5.379
Cs Ti Tl Sb
1 1 2 1
Direct
0.000 0.000 0.000
0.500 0.500 0.500
0.000 0.500 0.500
0.500 0.000 0.500
0.500 0.500 0.000
```

***

The structure with the most favorable energy is arrangement two; the runner-up is 1.682 eV/atom above it.

***

Arrangement one

A relaxed CsTl3Sb crystal. Source: the Alexandria database, functional PBE.

```
CsTl3Sb
1.0
3.952 -6.527 0.000
3.952 6.527 0.000
0.000 0.000 7.588
Cs Tl Sb
2 6 2
Direct
0.247 0.753 0.750
0.753 0.247 0.250
0.133 0.867 0.250
0.255 0.255 0.000
0.255 0.255 0.500
0.745 0.745 0.000
0.745 0.745 0.500
0.867 0.133 0.750
0.375 0.625 0.250
0.625 0.375 0.750
```

***

Arrangement two

A relaxed CsTl3Sb crystal. Source: the Alexandria database, functional PBE.

```
CsTl3Sb
1.0
6.395 0.000 0.000
0.000 6.395 0.000
0.000 0.000 6.395
Cs Tl Sb
1 3 1
Direct
0.000 0.000 0.000
0.000 0.000 0.500
0.000 0.500 0.000
0.500 0.000 0.000
0.500 0.500 0.500
```

***

Arrangement three

A relaxed CsTl3Sb crystal. Source: the Alexandria database, functional PBE.

```
CsTl3Sb
1.0
6.221 0.000 0.000
0.000 6.221 0.000
0.000 0.000 6.221
Cs Tl Sb
1 3 1
Direct
0.000 0.000 0.000
0.000 0.500 0.500
0.500 0.000 0.500
0.500 0.500 0.000
0.500 0.500 0.500
```

***

Arrangement four

A relaxed CsTl3Sb crystal. Source: the Alexandria database, functional PBE.

```
CsTl3Sb
1.0
-2.855 2.855 5.886
2.855 -2.855 5.886
2.855 2.855 -5.886
Cs Tl Sb
1 3 1
Direct
0.000 0.000 0.000
0.249 0.749 0.500
0.634 0.634 0.000
0.749 0.249 0.500
0.378 0.378 0.000
```

***

The structure with the most favorable energy is arrangement one; the runner-up is 0.026 eV/atom above it.

***

Arrangement one

A relaxed Cs2Tl2Sb crystal. Source: the Alexandria database, functional PBE.

```
Cs2Tl2Sb
1.0
6.638 -4.148 0.000
6.638 4.148 0.000
-2.841 0.000 8.184
Cs Tl Sb
4 4 2
Direct
0.105 0.240 0.143
0.240 0.105 0.643
0.760 0.895 0.357
0.895 0.760 0.857
0.290 0.540 0.555
0.460 0.710 0.945
0.540 0.290 0.055
0.710 0.460 0.445
0.306 0.694 0.250
0.694 0.306 0.750
```

***

Arrangement two

A relaxed Cs2Tl2Sb crystal. Source: the Alexandria database, functional PBE.

```
Cs2Tl2Sb
1.0
4.466 -7.901 0.000
4.466 7.901 0.000
-3.656 0.000 7.191
Cs Tl Sb
4 4 2
Direct
0.045 0.347 0.283
0.347 0.045 0.283
0.653 0.955 0.717
0.955 0.653 0.717
0.210 0.210 0.897
0.447 0.447 0.702
0.553 0.553 0.298
0.790 0.790 0.103
0.357 0.643 0.000
0.643 0.357 0.000
```

***

The structure with the most favorable energy is arrangement one; the runner-up is 0.022 eV/atom above it.

***

Arrangement one

A relaxed CsTlSb3 crystal. Source: the Alexandria database, functional PBE.

```
CsTlSb3
1.0
5.902 0.000 0.000
0.000 5.902 0.000
0.000 0.000 5.902
Cs Tl Sb
1 1 3
Direct
0.000 0.000 0.000
0.500 0.500 0.500
0.000 0.500 0.500
0.500 0.000 0.500
0.500 0.500 0.000
```

***

Arrangement two

A relaxed CsTlSb3 crystal. Source: the Alexandria database, functional PBE.

```
CsTlSb3
1.0
6.271 0.000 0.000
0.000 6.271 0.000
0.000 0.000 6.271
Cs Tl Sb
1 1 3
Direct
0.000 0.000 0.000
0.500 0.500 0.500
0.000 0.000 0.500
0.000 0.500 0.000
0.500 0.000 0.000
```

***

The structure with the most favorable energy is arrangement one; the runner-up is 0.816 eV/atom above it.